The following is a DFT calculation (GGA+U) of an optimized crystal structure of NaCa3Fe4Si8O24.

The structure in CIF format:
```
data_NaCa3Fe4Si8O24
_cell_length_a 12.422
_cell_length_b 9.084
_cell_length_c 9.932
_cell_angle_alpha 90.00
_cell_angle_beta 124.22
_cell_angle_gamma 90.00
_symmetry_space_group_name_H-M 'C 1 2 1'
_symmetry_Int_Tables_number 5
loop_
_symmetry_equiv_pos_as_xyz
'x,y,z'
'-x,y,-z'
'x+1/2,y+1/2,z'
'-x+1/2,y+1/2,-z'
loop_
_atom_site_label
_atom_site_type_symbol
_atom_site_fract_x
_atom_site_fract_y
_atom_site_fract_z
Na1 Na 0.000 0.000 0.000
Ca1 Ca 0.000 0.505 0.500
Ca2 Ca 0.246 0.906 0.746
Fe1 Fe 0.000 0.117 0.500
Fe2 Fe 0.000 0.612 0.000
Fe3 Fe 0.247 0.805 0.245
Si1 Si 0.006 0.796 0.292
Si2 Si 0.008 0.299 0.798
Si3 Si 0.243 0.118 0.457
Si4 Si 0.244 0.612 0.954
O1 O 0.035 0.455 0.165
O2 O 0.036 0.953 0.676
O3 O 0.047 0.779 0.165
O4 O 0.048 0.302 0.668
O5 O 0.123 0.724 0.473
O6 O 0.127 0.225 0.973
O7 O 0.128 0.689 0.775
O8 O 0.130 0.200 0.281
O9 O 0.192 0.612 0.074
O10 O 0.202 0.121 0.586
O11 O 0.215 0.462 0.574
O12 O 0.215 0.955 0.075
```

Values from the calculation:
* raw total energy: -7.38 eV/atom
* magnetic moment: 17.00 μB/f.u.